## NaTlPbSe3 (GGA-PBE)

Data for NaTlPbSe3 after structural relaxation. Values from VASP.

Calculated values
VASP energy ... -3.4872 eV/atom
Formation energy from raw total energies ... -0.51 eV/atom
SG ... P2_1/m (11)
DOS at the Fermi energy ... 0.22 states/eV/f.u.

```
&SYSTEM
  ibrav = 0, nat = 12, ntyp = 4
/
ATOMIC_SPECIES
Pb 207.20 Pb.upf
Se 78.96 Se.upf
Na 22.99 Na.upf
Tl 204.38 Tl.upf
ATOMIC_POSITIONS crystal
Pb 0.2500 0.6437 0.1264
Pb 0.7500 0.3563 0.8736
Se 0.2500 0.0673 0.8545
Se 0.7500 0.4012 0.1220
Se 0.7500 0.2081 0.5420
Se 0.2500 0.7919 0.4580
Se 0.7500 0.9327 0.1455
Se 0.2500 0.5988 0.8780
Na 0.2500 0.1706 0.1315
Na 0.7500 0.8294 0.8685
Tl 0.7500 0.9326 0.3699
Tl 0.2500 0.0674 0.6301
CELL_PARAMETERS angstrom
-0.6668 -1.3842 -4.0488
6.6624 -5.5287 0.7928
-8.8485 -6.4852 3.6745
```

=====

## KZrV2Br (GGA-PBE)

Data for KZrV2Br after structural relaxation. Values from VASP.

Calculated values
VASP energy ... -4.7510 eV/atom
Formation energy from raw total energies ... 1.16 eV/atom
SG ... P4/mmm (123)
DOS at the Fermi energy ... 7.22 states/eV/f.u.

```
&SYSTEM
  ibrav = 0, nat = 5, ntyp = 4
/
ATOMIC_SPECIES
V 50.94 V.upf
K 39.10 K.upf
Br 79.90 Br.upf
Zr 91.22 Zr.upf
ATOMIC_POSITIONS crystal
V 0.0000 0.0000 0.5000
V 0.5000 0.0000 0.0000
K 0.5000 0.5000 0.5000
Br 0.0000 0.0000 0.0000
Zr 0.0000 0.5000 0.0000
CELL_PARAMETERS angstrom
-2.0215 1.9073 3.9612
-0.6008 -4.7742 1.9922
4.3608 0.3163 2.0732
```

=====

## MoP (GGA-PBE)

Data for MoP after structural relaxation. Values from VASP.

Calculated values
VASP energy ... -8.1120 eV/atom
SG ... Fm-3m (225)
ΔE_f ... 8 meV/atom
DOS at the Fermi energy ... 2.03 states/eV/f.u.

```
&SYSTEM
  ibrav = 0, nat = 2, ntyp = 2
/
ATOMIC_SPECIES
Mo 95.94 Mo.upf
P 30.97 P.upf
ATOMIC_POSITIONS crystal
Mo 0.0000 0.0000 0.0000
P 0.5000 0.5000 0.5000
CELL_PARAMETERS angstrom
0.0000 2.4784 2.4784
2.4784 0.0000 2.4784
2.4784 2.4784 0.0000
```